No. 1
{"formula": "YCdTeF2", "functional": "PBE", "state": "optimized geometry", "cell": [[4.429, 0.000, 0.000], [0.000, 4.429, 0.000], [0.000, 0.000, 6.216]], "species": ["Te", "F", "F", "Cd", "Y"], "fractional_positions": [[0.000, 0.000, 0.500], [0.000, 0.500, 0.000], [0.500, 0.000, 0.000], [0.500, 0.500, 0.500], [0.000, 0.000, 0.000]], "energy_ev_per_atom": -5.1993, "spacegroup": "P4/mmm, No. 123", "raw_formation_energy_ev_per_fu": -11.73, "total_magnetization_mub_per_cell": 0.0, "density_g_cm3": 4.997}

No. 2
{"formula": "Zn2CdTeF", "functional": "PBE", "state": "optimized geometry", "cell": [[4.470, 0.000, 0.000], [0.000, 5.390, 0.000], [0.000, 0.000, 4.470]], "species": ["Zn", "Zn", "F", "Cd", "Te"], "fractional_positions": [[0.000, 0.000, 0.500], [0.500, 0.000, 0.000], [0.000, 0.000, 0.000], [0.000, 0.500, 0.000], [0.500, 0.500, 0.500]], "energy_ev_per_atom": -1.9887, "spacegroup": "P4/mmm, No. 123", "raw_formation_energy_ev_per_fu": -1.47, "total_magnetization_mub_per_cell": 0.0, "density_g_cm3": 6.012}

No. 3
{"formula": "ThCd2F8", "functional": "PBE", "state": "optimized geometry", "cell": [[-0.895, 1.072, 3.520], [-5.955, 0.599, -1.697], [2.455, -6.389, 0.534]], "species": ["Cd", "Cd", "F", "F", "F", "F", "F", "F", "F", "F", "Th"], "fractional_positions": [[0.827, 0.327, 0.655], [0.173, 0.673, 0.345], [0.872, 0.872, 0.745], [0.128, 0.128, 0.255], [0.660, 0.429, 0.321], [0.000, 0.699, 0.000], [0.000, 0.301, 0.000], [0.660, 0.892, 0.321], [0.340, 0.108, 0.679], [0.340, 0.571, 0.679], [0.500, 0.000, 0.000]], "energy_ev_per_atom": -5.1581, "spacegroup": "Immm, No. 71", "raw_formation_energy_ev_per_fu": -32.52, "total_magnetization_mub_per_cell": 0.0, "density_g_cm3": 7.375}

Which formula does entry 2 have?
Zn2CdTeF

Number 1 is which compound?
YCdTeF2